1.
VASP calculation (PBE) on Tm3CuAu2 after structural relaxation.

extended XYZ file:
```
6
Lattice="3.5008 0.0000 0.0000 0.0000 3.5008 0.0000 0.0000 0.0000 10.6060" Properties=species:S:1:pos:R:3 pbc="T T T"
Tm 0.0000 0.0000 0.0000
Tm 0.0000 0.0000 3.6084
Tm 0.0000 0.0000 6.9976
Cu 1.7504 1.7504 5.3030
Au 1.7504 1.7504 1.8190
Au 1.7504 1.7504 8.7870
```

Computed properties:
Calculated formation energy (eV/atom): -0.690
Magnetic moment (μB/f.u.): 0.0
Total energy (eV per atom): -4.7013

=====

2.
VASP calculation (PBE) on Li2Cd2HgAu2 after structural relaxation.

extended XYZ file:
```
14
Lattice="9.3863 0.0000 0.0000 0.0000 4.1833 0.0000 -1.0253 0.0000 6.6824" Properties=species:S:1:pos:R:3 pbc="T T T"
Li 1.7572 0.0000 1.1317
Li 1.9107 2.0917 5.5507
Li 6.4504 2.0917 1.1317
Li 6.6038 0.0000 5.5507
Cd 0.0571 0.0000 4.7779
Cd 3.6107 2.0917 1.9046
Cd 4.7503 2.0917 4.7779
Cd 8.3039 0.0000 1.9046
Hg 0.0000 2.0917 0.0000
Hg 4.6932 0.0000 0.0000
Au 0.8982 2.0917 2.8102
Au 2.7696 0.0000 3.8723
Au 5.5914 0.0000 2.8102
Au 7.4628 2.0917 3.8723
```

Computed properties:
Calculated formation energy (eV/atom): -0.303
Magnetic moment (μB/f.u.): 0.0
Total energy (eV per atom): -2.0904

=====

3.
VASP calculation (PBE) on Pr4SnHgN after structural relaxation.

extended XYZ file:
```
14
Lattice="3.5263 -8.1231 0.0000 3.5263 8.1231 0.0000 0.0000 0.0000 7.0511" Properties=species:S:1:pos:R:3 pbc="T T T"
Pr 1.7631 4.0616 0.0000
Pr 1.7631 4.0616 3.5255
Pr 3.5263 6.8153 5.2883
Pr 3.5263 1.4000 5.2883
Pr 1.7631 -4.0616 0.0000
Pr 1.7631 -4.0616 3.5255
Pr 3.5263 -1.4000 1.7628
Pr 3.5263 -6.8153 1.7628
Sn 3.5263 1.8144 1.7628
Sn 3.5263 -1.8144 5.2883
Hg 3.5263 6.2458 1.7628
Hg 3.5263 -6.2458 5.2883
N 3.5263 4.0469 5.2883
N 3.5263 -4.0469 1.7628
```

Computed properties:
Magnetic moment (μB/f.u.): 0.0
Total energy (eV per atom): -5.2596
Raw formation energy (eV per atom): -0.7241

=====

4.
VASP calculation (PBE) on AcZrGe after structural relaxation.

extended XYZ file:
```
12
Lattice="4.3519 0.0000 0.0000 0.0000 4.3519 0.0000 0.0000 0.0000 17.4465" Properties=species:S:1:pos:R:3 pbc="T T T"
Ac 0.0000 0.0000 3.0501
Ac 0.0000 0.0000 14.3963
Ac 2.1760 2.1760 5.6731
Ac 2.1760 2.1760 11.7734
Zr 0.0000 2.1760 0.0000
Zr 0.0000 2.1760 8.7232
Zr 2.1760 0.0000 0.0000
Zr 2.1760 0.0000 8.7232
Ge 0.0000 0.0000 6.7638
Ge 0.0000 0.0000 10.6826
Ge 2.1760 2.1760 1.9594
Ge 2.1760 2.1760 15.4871
```

Computed properties:
Calculated formation energy (eV/atom): -0.570
Magnetic moment (μB/f.u.): 0.0
Total energy (eV per atom): -6.3285

=====

5.
VASP calculation (PBE) on Te2SeIN after structural relaxation.

extended XYZ file:
```
5
Lattice="6.0709 0.0000 0.0000 0.0000 6.0709 0.0000 0.0000 0.0000 3.6442" Properties=species:S:1:pos:R:3 pbc="T T T"
Te 0.0000 3.0354 0.0000
Te 3.0354 0.0000 0.0000
Se 0.0000 0.0000 0.0000
I 3.0354 3.0354 1.8221
N 0.0000 0.0000 1.8221
```

Computed properties:
Magnetic moment (μB/f.u.): 0.0
Total energy (eV per atom): -2.9675
Raw formation energy (eV per atom): 0.9612

=====

6.
VASP calculation (PBE) on TiTc2Ru after structural relaxation.

extended XYZ file:
```
16
Lattice="7.1298 0.0000 0.0000 0.0000 7.1298 0.0000 0.0000 0.0000 5.0429" Properties=species:S:1:pos:R:3 pbc="T T T"
Ti 0.0000 0.0000 0.0000
Ti 0.0000 3.5649 1.2607
Ti 3.5649 0.0000 3.7822
Ti 3.5649 3.5649 2.5214
Tc 1.6592 1.7824 3.1518
Tc 1.7824 5.2241 4.4125
Tc 1.7824 5.4705 1.8911
Tc 1.9056 1.7824 0.6304
Tc 5.2241 5.3473 0.6304
Tc 5.3473 1.6592 1.8911
Tc 5.3473 1.9056 4.4125
Tc 5.4705 5.3473 3.1518
Ru 0.0000 0.0000 2.5214
Ru 0.0000 3.5649 3.7822
Ru 3.5649 0.0000 1.2607
Ru 3.5649 3.5649 0.0000
```

Computed properties:
Calculated formation energy (eV/atom): 0.420
Magnetic moment (μB/f.u.): 0.0
Total energy (eV per atom): -9.0557

=====

7.
VASP calculation (PBE) on Sm4Ni3Pd after structural relaxation.

extended XYZ file:
```
8
Lattice="3.7865 0.0000 0.0000 0.0000 4.4211 0.0000 0.0000 0.0000 10.4621" Properties=species:S:1:pos:R:3 pbc="T T T"
Sm 0.0000 0.0000 0.0000
Sm 0.0000 2.2105 2.8096
Sm 1.8933 0.0000 5.0855
Sm 1.8933 2.2105 8.0659
Ni 0.0000 2.2105 5.7456
Ni 1.8933 0.0000 2.1342
Ni 1.8933 2.2105 0.6241
Pd 0.0000 0.0000 7.4237
```

Computed properties:
Calculated formation energy (eV/atom): -0.479
Magnetic moment (μB/f.u.): 0.0
Total energy (eV per atom): -5.6560

=====

8.
VASP calculation (PBE) on TbCeHgPb after structural relaxation.

extended XYZ file:
```
16
Lattice="7.6763 0.0000 0.0000 0.0000 7.6763 0.0000 0.0000 0.0000 7.6763" Properties=species:S:1:pos:R:3 pbc="T T T"
Tb 0.0000 0.0000 0.0000
Tb 0.0000 3.8382 3.8382
Tb 3.8382 0.0000 3.8382
Tb 3.8382 3.8382 0.0000
Ce 0.0000 0.0000 3.8382
Ce 0.0000 3.8382 0.0000
Ce 3.8382 0.0000 0.0000
Ce 3.8382 3.8382 3.8382
Hg 1.9191 1.9191 5.7573
Hg 1.9191 5.7573 1.9191
Hg 5.7573 1.9191 1.9191
Hg 5.7573 5.7573 5.7573
Pb 1.9191 1.9191 1.9191
Pb 1.9191 5.7573 5.7573
Pb 5.7573 1.9191 5.7573
Pb 5.7573 5.7573 1.9191
```

Computed properties:
Calculated formation energy (eV/atom): -0.400
Magnetic moment (μB/f.u.): 1.4
Total energy (eV per atom): -4.0434

=====

9.
VASP calculation (PBE) on PmErZr after structural relaxation.

extended XYZ file:
```
6
Lattice="3.4022 0.0000 0.0000 0.0000 3.4022 0.0000 0.0000 0.0000 14.9232" Properties=species:S:1:pos:R:3 pbc="T T T"
Pm 0.0000 0.0000 0.0000
Pm 1.7011 1.7011 7.4616
Er 0.0000 0.0000 10.2668
Er 1.7011 1.7011 2.8052
Zr 0.0000 0.0000 5.0529
Zr 1.7011 1.7011 12.5145
```

Computed properties:
Calculated formation energy (eV/atom): 0.093
Magnetic moment (μB/f.u.): 0.0
Total energy (eV per atom): -5.8607

=====

10.
VASP calculation (PBE) on HfHgAs3 after structural relaxation.

extended XYZ file:
```
5
Lattice="5.1680 0.0000 0.0000 0.0000 5.1680 0.0000 0.0000 0.0000 5.1680" Properties=species:S:1:pos:R:3 pbc="T T T"
Hf 0.0000 0.0000 0.0000
Hg 2.5840 2.5840 2.5840
As 0.0000 0.0000 2.5840
As 0.0000 2.5840 0.0000
As 2.5840 0.0000 0.0000
```

Computed properties:
Calculated formation energy (eV/atom): 0.192
Magnetic moment (μB/f.u.): 0.0
Total energy (eV per atom): -4.6485

=====

11.
VASP calculation (PBE) on TbPm6Er2Tm3 after structural relaxation.

extended XYZ file:
```
12
Lattice="3.1074 -5.3805 0.0000 3.1074 5.3805 0.0000 -2.0649 0.0000 11.5628" Properties=species:S:1:pos:R:3 pbc="T T T"
Tb 0.0000 0.0000 0.0000
Pm 1.0398 1.7950 2.9034
Pm 0.0049 0.0000 8.6602
Pm 1.0398 -1.7950 2.9034
Pm 3.1102 1.7950 8.6595
Pm 4.1451 0.0000 2.9026
Pm 3.1102 -1.7950 8.6595
Er 3.1074 1.7924 0.0000
Er 3.1074 -1.7924 0.0000
Tm 2.0750 3.5862 5.7814
Tm 2.0750 0.0000 5.7814
Tm 2.0750 -3.5862 5.7814
```

Computed properties:
Calculated formation energy (eV/atom): 0.014
Magnetic moment (μB/f.u.): 0.0
Total energy (eV per atom): -4.6251

=====

12.
VASP calculation (PBE) on Ru2W after structural relaxation.

extended XYZ file:
```
12
Lattice="10.0634 0.0000 0.0000 0.0000 2.7714 0.0000 -1.6665 0.0000 6.3145" Properties=species:S:1:pos:R:3 pbc="T T T"
Ru -0.1838 0.0000 1.9292
Ru 1.3339 1.3857 0.1780
Ru 2.0313 0.0000 6.1365
Ru 3.5490 1.3857 4.3853
Ru 4.8479 1.3857 1.9292
Ru 6.3656 0.0000 0.1780
Ru 7.0630 1.3857 6.1365
Ru 8.5807 0.0000 4.3853
W 0.7992 1.3857 4.1084
W 2.5660 0.0000 2.2061
W 5.8309 0.0000 4.1084
W 7.5977 1.3857 2.2061
```

Computed properties:
Calculated formation energy (eV/atom): -0.008
Magnetic moment (μB/f.u.): 0.0
Total energy (eV per atom): -10.5096

=====

13.
VASP calculation (PBE) on Hf2Pt9Au after structural relaxation.

extended XYZ file:
```
12
Lattice="4.0251 0.0000 0.0000 0.0000 4.0251 0.0000 0.0000 0.0000 12.1201" Properties=species:S:1:pos:R:3 pbc="T T T"
Hf 0.0000 0.0000 2.0701
Hf 0.0000 0.0000 10.0500
Pt 0.0000 2.0126 0.0000
Pt 0.0000 2.0126 3.9765
Pt 0.0000 2.0126 8.1436
Pt 2.0126 0.0000 0.0000
Pt 2.0126 0.0000 3.9765
Pt 2.0126 0.0000 8.1436
Pt 2.0126 2.0126 1.9914
Pt 2.0126 2.0126 6.0601
Pt 2.0126 2.0126 10.1287
Au 0.0000 0.0000 6.0601
```

Computed properties:
Calculated formation energy (eV/atom): -0.749
Magnetic moment (μB/f.u.): 0.0
Total energy (eV per atom): -7.2113

=====

14.
VASP calculation (PBE) on NaMnNi2 after structural relaxation.

extended XYZ file:
```
16
Lattice="6.0298 0.0000 0.0000 0.0000 6.0298 0.0000 0.0000 0.0000 6.0298" Properties=species:S:1:pos:R:3 pbc="T T T"
Na 0.0000 0.0000 0.0000
Na 0.0000 3.0149 3.0149
Na 3.0149 0.0000 3.0149
Na 3.0149 3.0149 0.0000
Mn 0.0000 0.0000 3.0149
Mn 0.0000 3.0149 0.0000
Mn 3.0149 0.0000 0.0000
Mn 3.0149 3.0149 3.0149
Ni 1.5075 1.5075 1.5075
Ni 1.5075 1.5075 4.5224
Ni 1.5075 4.5224 1.5075
Ni 1.5075 4.5224 4.5224
Ni 4.5224 1.5075 1.5075
Ni 4.5224 1.5075 4.5224
Ni 4.5224 4.5224 1.5075
Ni 4.5224 4.5224 4.5224
```

Computed properties:
Calculated formation energy (eV/atom): 0.430
Magnetic moment (μB/f.u.): 4.5
Total energy (eV per atom): -5.0825

=====

15.
VASP calculation (PBE) on AcTb4Sm15 after structural relaxation.

extended XYZ file:
```
20
Lattice="5.1375 0.0000 0.0000 0.0000 5.1375 0.0000 0.0000 0.0000 25.6963" Properties=species:S:1:pos:R:3 pbc="T T T"
Ac 0.0000 0.0000 0.0000
Tb 0.0000 0.0000 5.2167
Tb 0.0000 0.0000 10.3069
Tb 0.0000 0.0000 15.3894
Tb 0.0000 0.0000 20.4796
Sm 0.0000 2.5687 2.6903
Sm 0.0000 2.5687 7.7672
Sm 0.0000 2.5687 12.8481
Sm 0.0000 2.5687 17.9291
Sm 0.0000 2.5687 23.0060
Sm 2.5687 0.0000 2.6903
Sm 2.5687 0.0000 7.7672
Sm 2.5687 0.0000 12.8481
Sm 2.5687 0.0000 17.9291
Sm 2.5687 0.0000 23.0060
Sm 2.5687 2.5687 0.0000
Sm 2.5687 2.5687 5.2438
Sm 2.5687 2.5687 10.3084
Sm 2.5687 2.5687 15.3879
Sm 2.5687 2.5687 20.4524
```

Computed properties:
Calculated formation energy (eV/atom): 0.023
Magnetic moment (μB/f.u.): 0.0
Total energy (eV per atom): -4.6482

=====

16.
VASP calculation (PBE) on LaCuCl5 after structural relaxation.

extended XYZ file:
```
14
Lattice="5.2133 -4.6334 0.0000 5.2133 4.6334 0.0000 -3.0125 0.0000 8.1437" Properties=species:S:1:pos:R:3 pbc="T T T"
La 2.9540 4.0430 6.1078
La 4.4602 -4.0430 2.0359
Cu 5.2133 0.0000 0.0000
Cu 3.7071 0.0000 4.0719
Cl 4.5421 3.0702 0.2324
Cl 1.8696 0.7918 3.0556
Cl 4.3784 3.0702 3.8395
Cl 0.3634 -0.7918 7.1275
Cl 2.9540 0.8957 6.1078
Cl 4.4602 -0.8957 2.0359
Cl 7.0508 0.7918 1.0162
Cl 3.0358 -3.0702 4.3042
Cl 5.5446 -0.7918 5.0881
Cl 2.8721 -3.0702 7.9113
```

Computed properties:
Magnetic moment (μB/f.u.): 0.0
Total energy (eV per atom): -4.0996
Raw formation energy (eV per atom): -1.4915

=====

17.
VASP calculation (PBE) on LiTbNdCr after structural relaxation.

extended XYZ file:
```
16
Lattice="7.3196 0.0000 0.0000 0.0000 7.3196 0.0000 0.0000 0.0000 7.3196" Properties=species:S:1:pos:R:3 pbc="T T T"
Li 0.0000 0.0000 0.0000
Li 0.0000 3.6598 3.6598
Li 3.6598 0.0000 3.6598
Li 3.6598 3.6598 0.0000
Tb 1.8299 1.8299 5.4897
Tb 1.8299 5.4897 1.8299
Tb 5.4897 1.8299 1.8299
Tb 5.4897 5.4897 5.4897
Nd 1.8299 1.8299 1.8299
Nd 1.8299 5.4897 5.4897
Nd 5.4897 1.8299 5.4897
Nd 5.4897 5.4897 1.8299
Cr 0.0000 0.0000 3.6598
Cr 0.0000 3.6598 0.0000
Cr 3.6598 0.0000 0.0000
Cr 3.6598 3.6598 3.6598
```

Computed properties:
Calculated formation energy (eV/atom): 0.201
Magnetic moment (μB/f.u.): 3.1
Total energy (eV per atom): -5.0326

=====

18.
VASP calculation (PBE) on Pu3TeI3 after structural relaxation.

extended XYZ file:
```
28
Lattice="10.7842 0.0000 0.0000 -3.5401 10.1900 0.0000 -3.6101 -5.0823 8.9119" Properties=species:S:1:pos:R:3 pbc="T T T"
Pu 0.0000 0.0000 0.0000
Pu -3.6460 -1.3758 6.8409
Pu -0.0316 -3.7999 6.7321
Pu 0.0752 -0.0290 4.5645
Pu 0.1348 3.7212 2.3409
Pu 0.0370 -0.1451 8.9098
Pu 0.0516 3.8136 6.6183
Pu 3.5710 1.2790 2.2718
Pu 0.0068 7.4967 4.5848
Pu 3.5672 1.1608 6.7356
Pu 3.5802 -2.5827 8.8912
Pu 3.5515 5.0396 4.5753
Te 1.8090 2.4801 0.0574
Te 1.8052 -1.3472 6.7202
Te 1.8541 2.4753 4.5337
Te 1.8215 6.3158 6.7552
I -5.2744 3.6955 6.7345
I -1.7803 5.1321 0.1680
I -1.9106 4.9808 4.4205
I -1.8761 1.2744 6.7525
I -1.7383 8.7798 2.2311
I 1.8415 10.0407 0.0725
I 1.8560 6.4065 2.2375
I 5.4119 7.5895 0.1288
I 5.4629 -0.0607 4.4698
I 5.5093 3.8072 2.3367
I 5.4046 7.6175 4.4141
I 8.9217 1.1903 2.3337
```

Computed properties:
Magnetic moment (μB/f.u.): 0.0
Total energy (eV per atom): -8.1541
Raw formation energy (eV per atom): -0.8987

=====

19.
VASP calculation (PBE) on Cd2POs after structural relaxation.

extended XYZ file:
```
8
Lattice="2.9884 0.0000 0.0000 0.0000 5.0432 0.0000 0.0000 0.0000 10.4223" Properties=species:S:1:pos:R:3 pbc="T T T"
Cd 0.0000 0.0000 0.0000
Cd 0.0000 2.5216 2.9178
Cd 1.4942 0.0000 2.9178
Cd 1.4942 2.5216 0.0000
P 0.0000 2.5216 7.1217
P 1.4942 0.0000 7.1217
Os 0.0000 0.0000 5.4150
Os 1.4942 2.5216 5.4150
```

Computed properties:
Calculated formation energy (eV/atom): 0.293
Magnetic moment (μB/f.u.): 0.0
Total energy (eV per atom): -4.3242

=====

20.
VASP calculation (PBE) on Sc2ZnIr after structural relaxation.

extended XYZ file:
```
4
Lattice="3.2969 0.0000 0.0000 0.0000 3.2969 0.0000 0.0000 0.0000 6.8103" Properties=species:S:1:pos:R:3 pbc="T T T"
Sc 0.0000 0.0000 0.0000
Sc 1.6484 1.6484 2.3086
Zn 0.0000 0.0000 3.9492
Ir 1.6484 1.6484 5.3056
```

Computed properties:
Calculated formation energy (eV/atom): -0.392
Magnetic moment (μB/f.u.): 1.1
Total energy (eV per atom): -6.0917